A plane-wave DFT calculation with PBE with a Hubbard U was carried out for a relaxed LiCo3O2F6 crystal.

Computed properties:
ΔE to the lowest computed polymorph	71	meV/atom
DOS at the Fermi energy	0.281	states/eV/cell
total magnetic moment	0.664	μB per atom

Cell: 5.083 6.873 7.440 Å, 78.60 89.48 89.82°
Site moments in Bohr magnetons follow the coordinates.
Fractional positions:
F 0.077 0.418 0.192  0.09
F 0.093 0.687 0.434  0.09
O 0.406 0.423 0.699  0.30
Co 0.752 0.829 0.327  2.03
O 0.104 0.933 0.681  -0.27
Co 0.741 0.310 0.317  2.21
Co 0.259 0.690 0.683  2.21
F 0.961 0.804 0.097  0.10
F 0.432 0.928 0.192  0.07
Co 0.717 0.341 0.811  3.11
F 0.584 0.312 0.071  0.09
F 0.416 0.196 0.429  0.05
Co 0.283 0.659 0.189  3.11
O 0.594 0.577 0.301  0.30
Li 0.771 0.831 0.855  0.00
F 0.584 0.804 0.571  0.05
F 0.416 0.688 0.929  0.09
F 0.923 0.582 0.808  0.09
F 0.568 0.072 0.808  0.07
F 0.039 0.196 0.903  0.10
O 0.896 0.067 0.319  -0.27
Co 0.248 0.171 0.673  2.03
Li 0.229 0.169 0.145  0.00
F 0.907 0.313 0.566  0.09